Below is a geometry-optimized CeNdNi2 structure, with properties calculated at the GGA-PBE level.

```
data_CeNdNi2
_chemical_formula_sum 'Ce1 Nd1 Ni2'
_cell_length_a 3.670
_cell_length_b 4.220
_cell_length_c 5.803
_cell_angle_alpha 90.00
_cell_angle_beta 108.23
_cell_angle_gamma 90.00
_space_group_name_H-M_alt 'P 1 m 1'
_space_group_IT_number 6
loop_
_space_group_symop_operation_xyz
'x,y,z'
'x,-y,z'
loop_
_atom_site_label
_atom_site_fract_x
_atom_site_fract_y
_atom_site_fract_z
_atom_site_occupancy
Ce1 0.000 0.000 0.000 1
Nd1 0.264 0.500 0.532 1
Ni1 0.539 0.500 0.078 1
Ni2 0.687 0.000 0.378 1
```

The magnetization comes out at 0.00 μB per formula unit. For the density of states at the Fermi level, the calculation gives 5.16 states/eV/f.u. The uncorrected energy comes out at -5.8852 eV/atom. The relative energy among the computed polymorphs is 0.00 eV per formula unit. The formation energy from the elements comes out at -0.32 eV per atom.



Below is a geometry-optimized CeNdNi structure, with properties calculated at the GGA-PBE level.

```
data_CeNdNi
_chemical_formula_sum 'Ce2 Nd2 Ni2'
_cell_length_a 3.535
_cell_length_b 3.535
_cell_length_c 11.753
_cell_angle_alpha 90.00
_cell_angle_beta 90.00
_cell_angle_gamma 90.00
_space_group_name_H-M_alt 'I 4 m m'
_space_group_IT_number 107
_space_group_name_Hall 'I 4 -2'
loop_
_atom_site_label
_atom_site_fract_x
_atom_site_fract_y
_atom_site_fract_z
_atom_site_occupancy
Ce1 0.000 0.000 0.000 1
Nd1 0.000 0.000 0.724 1
Ni1 0.000 0.000 0.387 1
```

The magnetization comes out at 0.61 μB per formula unit. For the density of states at the Fermi level, the calculation gives 5.59 states/eV/f.u. The uncorrected energy comes out at -5.6003 eV/atom. The relative energy among the computed polymorphs is 0.00 eV per formula unit. The formation energy from the elements comes out at -0.11 eV per atom.



Below is a geometry-optimized Ce2NdNi9 structure, with properties calculated at the GGA-PBE level.

```
data_Ce2NdNi9
_chemical_formula_sum 'Ce6 Nd3 Ni27'
_cell_length_a 4.9762
_cell_length_b 4.9762
_cell_length_c 24.6999
_cell_angle_alpha 90.00
_cell_angle_beta 90.00
_cell_angle_gamma 120.00
_space_group_name_H-M_alt 'R -3 m'
_space_group_IT_number 166
_space_group_name_Hall '-R 3 2"'
loop_
_atom_site_label
_atom_site_fract_x
_atom_site_fract_y
_atom_site_fract_z
_atom_site_occupancy
Ce1 0.0000 0.0000 0.1389 1
Nd1 0.0000 0.0000 0.0000 1
Ni1 0.0000 0.0000 0.3329 1
Ni2 0.0000 0.0000 0.5000 1
Ni3 0.9997 0.4999 0.0826 1
```

The magnetization comes out at 0.00 μB per formula unit. For the density of states at the Fermi level, the calculation gives 14.53 states/eV/f.u. The uncorrected energy comes out at -6.0890 eV/atom. The formation energy from the elements comes out at -0.37 eV per atom.